This record from the Alexandria database describes an optimized crystal structure of RbNdAgCl6. The functional is PBE.

## Properties
The crystal system is trigonal. Its uncorrected energy is -3.723 eV/atom.

Cell and atoms, written as CIF:
```
data_RbNdAgCl6
_chemical_formula_sum 'Rb2 Nd2 Ag2 Cl12'
_symmetry_space_group_name_H-M 'P -3 1 c'
_symmetry_Int_Tables_number 163
_symmetry_space_group_name_Hall '-P 3 2c'
_cell_length_a 7.0410
_cell_length_b 7.0410
_cell_length_c 14.5201
_cell_angle_alpha 90.00
_cell_angle_beta 90.00
_cell_angle_gamma 120.00
loop_
_atom_site_label
_atom_site_fract_x
_atom_site_fract_y
_atom_site_fract_z
Rb1 0.0000 0.0000 0.0000
Nd1 0.3333 0.6667 0.2500
Ag1 0.3333 0.6667 0.7500
Cl1 0.0110 0.3824 0.6424
```

***

This record from the Alexandria database describes an optimized crystal structure of TiBN2. The functional is PBE.

## Properties
The crystal system is tetragonal. Its uncorrected energy is -8.686 eV/atom.

Cell and atoms, written as CIF:
```
data_TiBN2
_chemical_formula_sum 'Ti4 B4 N8'
_symmetry_space_group_name_H-M 'I -4 2 d'
_symmetry_Int_Tables_number 122
_symmetry_space_group_name_Hall 'I -4 2bw'
_cell_length_a 4.602
_cell_length_b 4.602
_cell_length_c 6.262
_cell_angle_alpha 90.00
_cell_angle_beta 90.00
_cell_angle_gamma 90.00
loop_
_atom_site_label
_atom_site_fract_x
_atom_site_fract_y
_atom_site_fract_z
Ti1 0.000 0.000 0.000
B1 0.000 0.000 0.500
N1 0.162 0.250 0.625
```

***

This record from the Alexandria database describes an optimized crystal structure of Pu3Np. The functional is PBE.

## Properties
The crystal system is tetragonal. The value obtained for the formation energy is 0.27 eV per atom. The energy relative to the lowest polymorph listed for this composition comes out at 0 meV/atom.

Cell and atoms, written as CIF:
```
data_Pu3Np
_chemical_formula_sum 'Pu6 Np2'
_symmetry_space_group_name_H-M 'I 4/m m m'
_symmetry_Int_Tables_number 139
_symmetry_space_group_name_Hall '-I 4 2'
_cell_length_a 4.593
_cell_length_b 4.593
_cell_length_c 8.218
_cell_angle_alpha 90.00
_cell_angle_beta 90.00
_cell_angle_gamma 90.00
loop_
_atom_site_label
_atom_site_fract_x
_atom_site_fract_y
_atom_site_fract_z
Pu1 0.000 0.000 0.000
Pu2 0.000 0.500 0.250
Np1 0.000 0.000 0.500
```

***

This record from the Alexandria database describes an optimized crystal structure of LiEuSc2. The functional is PBE.

## Properties
The crystal system is tetragonal. The value obtained for the formation energy is 0.21 eV per atom. The energy relative to the lowest polymorph listed for this composition comes out at 0 meV/atom.

Cell and atoms, written as CIF:
```
data_LiEuSc2
_chemical_formula_sum 'Li1 Eu1 Sc2'
_symmetry_space_group_name_H-M 'P 4/m m m'
_symmetry_Int_Tables_number 123
_symmetry_space_group_name_Hall '-P 4 2'
_cell_length_a 3.516
_cell_length_b 3.516
_cell_length_c 8.462
_cell_angle_alpha 90.00
_cell_angle_beta 90.00
_cell_angle_gamma 90.00
loop_
_atom_site_label
_atom_site_fract_x
_atom_site_fract_y
_atom_site_fract_z
Li1 0.000 0.000 0.000
Eu1 0.000 0.000 0.500
Sc1 0.500 0.500 0.196
```

***

Copy entry 4 word for word.
This record from the Alexandria database describes an optimized crystal structure of LiEuSc2. The functional is PBE.

## Properties
The crystal system is tetragonal. The value obtained for the formation energy is 0.21 eV per atom. The energy relative to the lowest polymorph listed for this composition comes out at 0 meV/atom.

Cell and atoms, written as CIF:
```
data_LiEuSc2
_chemical_formula_sum 'Li1 Eu1 Sc2'
_symmetry_space_group_name_H-M 'P 4/m m m'
_symmetry_Int_Tables_number 123
_symmetry_space_group_name_Hall '-P 4 2'
_cell_length_a 3.516
_cell_length_b 3.516
_cell_length_c 8.462
_cell_angle_alpha 90.00
_cell_angle_beta 90.00
_cell_angle_gamma 90.00
loop_
_atom_site_label
_atom_site_fract_x
_atom_site_fract_y
_atom_site_fract_z
Li1 0.000 0.000 0.000
Eu1 0.000 0.000 0.500
Sc1 0.500 0.500 0.196
```

***

What is the formula in the second record? TiBN2